Entry a
An optimized crystal structure of PrCd2In2. Source: Alexandria via LeMat-Bulk, functional GGA-PBE.

Summary:
ρ = 6.60 g cm⁻³

a = 5.2170 Å, b = 5.2170 Å, c = 12.7136 Å
α = 90.00°, β = 90.00°, γ = 120.00°
Space group P6_3/mmc (No. 194)
Unique sites:
Pr: 0.0000 0.0000 0.2500 x2
Cd: 0.3333 0.6667 0.1151 x4
In: 0.0000 0.0000 0.0000 x2
In: 0.3333 0.6667 0.7500 x2

---

Entry b
An optimized crystal structure of PrCd2In2. Source: Alexandria via LeMat-Bulk, functional GGA-PBE.

Summary:
ρ = 6.86 g cm⁻³

a = 5.0752 Å, b = 5.0752 Å, c = 6.4583 Å
α = 90.00°, β = 90.00°, γ = 120.00°
Space group P-3m1 (No. 164)
Unique sites:
Pr: 0.0000 0.0000 0.0000 x1
Cd: 0.3333 0.6667 0.7383 x2
In: 0.3333 0.6667 0.2609 x2

---

Decreasing stability: entry b, entry a

---

Entry a
An optimized crystal structure of PrCdInSn. Source: Alexandria via LeMat-Bulk, functional GGA-PBE.

Summary:
ρ = 7.38 g cm⁻³

a = 7.5955 Å, b = 7.5955 Å, c = 7.5955 Å
α = 90.00°, β = 90.00°, γ = 90.00°
Space group F-43m (No. 216)
Unique sites:
Pr: 0.0000 0.0000 0.0000 x4
Cd: 0.2500 0.2500 0.7500 x4
In: 0.0000 0.0000 0.5000 x4
Sn: 0.2500 0.2500 0.2500 x4

---

Entry b
An optimized crystal structure of PrCdInSn. Source: Alexandria via LeMat-Bulk, functional GGA-PBE.

Summary:
ρ = 7.67 g cm⁻³

a = 4.5997 Å, b = 4.7032 Å, c = 4.8696 Å
α = 90.00°, β = 90.00°, γ = 90.00°
Space group Pmmm (No. 47)
Unique sites:
Pr: 0.0000 0.0000 0.0000 x1
Cd: 0.0000 0.5000 0.5000 x1
In: 0.5000 0.0000 0.5000 x1
Sn: 0.5000 0.5000 0.0000 x1

---

Decreasing stability: entry b, entry a

---

Entry a
An optimized crystal structure of PrTlCdIn. Source: Alexandria via LeMat-Bulk, functional GGA-PBE.

Summary:
ρ = 8.71 g cm⁻³

a = 7.5875 Å, b = 7.5875 Å, c = 7.5875 Å
α = 90.00°, β = 90.00°, γ = 90.00°
Space group F-43m (No. 216)
Unique sites:
Pr: 0.0000 0.0000 0.0000 x4
Tl: 0.2500 0.2500 0.2500 x4
Cd: 0.0000 0.0000 0.5000 x4
In: 0.2500 0.2500 0.7500 x4

---

Entry b
An optimized crystal structure of PrTlCdIn. Source: Alexandria via LeMat-Bulk, functional GGA-PBE.

Summary:
ρ = 8.87 g cm⁻³

a = 4.6910 Å, b = 4.7760 Å, c = 4.7823 Å
α = 90.00°, β = 90.00°, γ = 90.00°
Space group Pmmm (No. 47)
Unique sites:
Pr: 0.0000 0.0000 0.0000 x1
Tl: 0.5000 0.5000 0.0000 x1
Cd: 0.0000 0.5000 0.5000 x1
In: 0.5000 0.0000 0.5000 x1

---

Decreasing stability: entry b, entry a

---

Entry a
An optimized crystal structure of SrCdIn2Pt. Source: Alexandria via LeMat-Bulk, functional GGA-PBE.

Summary:
ρ = 6.54 g cm⁻³

a = 5.2074 Å, b = 5.2074 Å, c = 5.8465 Å
α = 90.00°, β = 90.00°, γ = 90.00°
Space group P4/mmm (No. 123)
Unique sites:
Sr: 0.0000 0.0000 0.0000 x1
Cd: 0.5000 0.5000 0.0000 x1
In: 0.0000 0.5000 0.5000 x2
Pt: 0.0000 0.0000 0.5000 x1

---

Entry b
An optimized crystal structure of SrCdIn2Pt. Source: Alexandria via LeMat-Bulk, functional GGA-PBE.

Summary:
ρ = 7.20 g cm⁻³

a = 5.2212 Å, b = 5.2212 Å, c = 5.2837 Å
α = 90.00°, β = 90.00°, γ = 90.00°
Space group P4/mmm (No. 123)
Unique sites:
Sr: 0.0000 0.0000 0.0000 x1
Cd: 0.5000 0.5000 0.0000 x1
In: 0.0000 0.5000 0.5000 x2
Pt: 0.5000 0.5000 0.5000 x1

---

Decreasing stability: entry a, entry b

---

Entry a
An optimized crystal structure of Pu2CdIn. Source: Alexandria via LeMat-Bulk, functional GGA-PBE.

Summary:
ρ = 11.96 g cm⁻³

a = 6.2563 Å, b = 10.0134 Å, c = 3.1691 Å
α = 90.00°, β = 90.00°, γ = 90.00°
Space group Cmmm (No. 65)
Unique sites:
Pu: 0.2500 0.2500 0.0000 x4
Cd: 0.0000 0.0000 0.5000 x2
In: 0.0000 0.5000 0.5000 x2

---

Entry b
An optimized crystal structure of Pu2CdIn. Source: Alexandria via LeMat-Bulk, functional GGA-PBE.

Summary:
ρ = 11.30 g cm⁻³

a = 4.1345 Å, b = 4.1345 Å, c = 6.1476 Å
α = 90.00°, β = 90.00°, γ = 90.00°
Space group P4/mmm (No. 123)
Unique sites:
Pu: 0.0000 0.0000 0.2484 x2
Cd: 0.5000 0.5000 0.5000 x1
In: 0.5000 0.5000 0.0000 x1

---

Entry c
An optimized crystal structure of Pu2CdIn. Source: Alexandria via LeMat-Bulk, functional GGA-PBE.

Summary:
ρ = 10.97 g cm⁻³

a = 7.5660 Å, b = 7.5660 Å, c = 7.5660 Å
α = 90.00°, β = 90.00°, γ = 90.00°
Space group Fm-3m (No. 225)
Unique sites:
Pu: 0.2500 0.2500 0.2500 x8
Cd: 0.0000 0.0000 0.0000 x4
In: 0.0000 0.0000 0.5000 x4

---

Entry d
An optimized crystal structure of Pu2CdIn. Source: Alexandria via LeMat-Bulk, functional GGA-PBE.

Summary:
ρ = 11.99 g cm⁻³

a = 4.4540 Å, b = 4.4540 Å, c = 4.9949 Å
α = 90.00°, β = 90.00°, γ = 90.00°
Space group P4/mmm (No. 123)
Unique sites:
Pu: 0.0000 0.5000 0.0000 x2
Cd: 0.0000 0.0000 0.5000 x1
In: 0.5000 0.5000 0.5000 x1

---

Decreasing stability: entry d, entry a, entry b, entry c

---

Entry a
An optimized crystal structure of PuCd4In. Source: Alexandria via LeMat-Bulk, functional GGA-PBE.

Summary:
ρ = 8.92 g cm⁻³

a = 8.4430 Å, b = 8.4430 Å, c = 8.4430 Å
α = 90.00°, β = 90.00°, γ = 90.00°
Space group F-43m (No. 216)
Unique sites:
Pu: 0.0000 0.0000 0.0000 x4
Cd: 0.1254 0.1254 0.3746 x16
In: 0.2500 0.2500 0.7500 x4

---

Entry b
An optimized crystal structure of PuCd4In. Source: Alexandria via LeMat-Bulk, functional GGA-PBE.

Summary:
ρ = 9.20 g cm⁻³

a = 4.6604 Å, b = 13.2080 Å, c = 4.7422 Å
α = 90.00°, β = 90.00°, γ = 90.00°
Space group Cmmm (No. 65)
Unique sites:
Pu: 0.0000 0.0000 0.0000 x2
Cd: 0.0000 0.1686 0.5000 x4
Cd: 0.0000 0.3228 0.0000 x4
In: 0.0000 0.5000 0.5000 x2

---

Decreasing stability: entry b, entry a